No. 1
KHf2Zn: relaxed, PBE.

Geometry as CIF:
```
data_KHf2Zn
_cell_length_a 11.726
_cell_length_b 11.726
_cell_length_c 11.726
_cell_angle_alpha 159.20
_cell_angle_beta 159.20
_cell_angle_gamma 29.58
_symmetry_space_group_name_H-M 'P 1'
_symmetry_Int_Tables_number 1
loop_
_symmetry_equiv_pos_as_xyz
'x,y,z'
loop_
_atom_site_label
_atom_site_type_symbol
_atom_site_fract_x
_atom_site_fract_y
_atom_site_fract_z
K1 K 0.000 0.000 0.000
K2 K 0.750 0.250 0.500
Hf1 Hf 0.147 0.625 0.022
Hf2 Hf 0.375 0.397 0.522
Hf3 Hf 0.603 0.125 0.978
Hf4 Hf 0.875 0.853 0.478
Zn1 Zn 0.250 0.750 0.500
Zn2 Zn 0.500 0.500 0.000
```

Properties
**Energy of formation from the pure elements**: 957 meV/atom
**ρ**: 7.5 g/cm3
**Space-group type**: I-42d, No. 122

***

No. 2
UNiH3: relaxed, PBE.

Geometry as CIF:
```
data_UNiH3
_cell_length_a 4.500
_cell_length_b 4.815
_cell_length_c 8.420
_cell_angle_alpha 90.00
_cell_angle_beta 90.00
_cell_angle_gamma 90.00
_symmetry_space_group_name_H-M 'P 1'
_symmetry_Int_Tables_number 1
loop_
_symmetry_equiv_pos_as_xyz
'x,y,z'
loop_
_atom_site_label
_atom_site_type_symbol
_atom_site_fract_x
_atom_site_fract_y
_atom_site_fract_z
U1 U 0.163 0.250 0.069
U2 U 0.337 0.750 0.569
U3 U 0.663 0.250 0.431
U4 U 0.837 0.750 0.931
Ni1 Ni 0.096 0.250 0.699
Ni2 Ni 0.404 0.750 0.199
Ni3 Ni 0.596 0.250 0.801
Ni4 Ni 0.904 0.750 0.301
H1 H 0.176 0.250 0.516
H2 H 0.224 0.513 0.319
H3 H 0.224 0.987 0.319
H4 H 0.276 0.013 0.819
H5 H 0.276 0.487 0.819
H6 H 0.324 0.750 0.016
H7 H 0.676 0.250 0.984
H8 H 0.724 0.513 0.181
H9 H 0.724 0.987 0.181
H10 H 0.776 0.013 0.681
H11 H 0.776 0.487 0.681
H12 H 0.824 0.750 0.484
```

Properties
**VASP energy**: -5.546 eV/atom
**ρ**: 10.9 g/cm3
**Space-group type**: Pnma, No. 62

***

No. 3
K2CoRh: relaxed, PBE.

Geometry as CIF:
```
data_K2CoRh
_cell_length_a 8.902
_cell_length_b 8.902
_cell_length_c 8.902
_cell_angle_alpha 93.57
_cell_angle_beta 93.57
_cell_angle_gamma 151.09
_symmetry_space_group_name_H-M 'P 1'
_symmetry_Int_Tables_number 1
loop_
_symmetry_equiv_pos_as_xyz
'x,y,z'
loop_
_atom_site_label
_atom_site_type_symbol
_atom_site_fract_x
_atom_site_fract_y
_atom_site_fract_z
K1 K 0.375 0.182 0.307
K2 K 0.818 0.125 0.193
K3 K 0.875 0.068 0.693
K4 K 0.932 0.625 0.807
Co1 Co 0.000 0.000 0.000
Co2 Co 0.750 0.250 0.500
Rh1 Rh 0.250 0.750 0.500
Rh2 Rh 0.500 0.500 0.000
```

Properties
**Energy above the lowest structure with this stoichiometry**: 37.9 kJ/mol of atoms
**Energy of formation from the pure elements**: 844 meV/atom
**ρ**: 2.4 g/cm3
**Space-group type**: I-42d, No. 122